No. 1
# NaZrAlSi2 PBE optimized geometry
data_NaZrAlSi2
_chemical_formula_sum 'Na1 Zr1 Al1 Si2'
_symmetry_space_group_name_H-M 'P 4/m m m'
_symmetry_Int_Tables_number 123
_symmetry_space_group_name_Hall '-P 4 2'
_cell_length_a 4.744
_cell_length_b 4.744
_cell_length_c 4.693
_cell_angle_alpha 90.00
_cell_angle_beta 90.00
_cell_angle_gamma 90.00
loop_
_atom_site_label
_atom_site_type_symbol
_atom_site_fract_x
_atom_site_fract_y
_atom_site_fract_z
Na1 Na 0.000 0.000 0.000
Zr1 Zr 0.500 0.500 0.000
Al1 Al 0.000 0.000 0.500
Si1 Si 0.000 0.500 0.500
# N(E_F) in states/eV/f.u.: 3.5
# E_form (uncorrected) in eV/atom: 0.81

---

No. 2
# Ce4Ru PBE optimized geometry
data_Ce4Ru
_chemical_formula_sum 'Ce32 Ru8'
_symmetry_space_group_name_H-M 'F d d 2'
_symmetry_Int_Tables_number 43
_symmetry_space_group_name_Hall 'F 2 -2d'
_cell_length_a 11.995
_cell_length_b 11.996
_cell_length_c 7.060
_cell_angle_alpha 90.00
_cell_angle_beta 90.00
_cell_angle_gamma 90.00
loop_
_atom_site_label
_atom_site_type_symbol
_atom_site_fract_x
_atom_site_fract_y
_atom_site_fract_z
Ce1 Ce 0.088 0.386 0.000
Ce2 Ce 0.113 0.089 0.254
Ru1 Ru 0.000 0.000 0.877
# N(E_F) in states/eV/f.u.: 12.9
# Total energy in eV/atom: -6.69

---

No. 3
# V6H2N PBE optimized geometry
data_V6H2N
_chemical_formula_sum 'V24 H8 N4'
_symmetry_space_group_name_H-M 'C 1 2/c 1'
_symmetry_Int_Tables_number 15
_cell_length_a 9.460
_cell_length_b 9.401
_cell_length_c 4.511
_cell_angle_alpha 90.00
_cell_angle_beta 114.43
_cell_angle_gamma 90.00
loop_
_symmetry_equiv_pos_as_xyz
'x,y,z'
'-x,-y,-z'
'-x,y,-z+1/2'
'x,-y,z+1/2'
'x+1/2,y+1/2,z'
'-x+1/2,-y+1/2,-z'
'-x+1/2,y+1/2,-z+1/2'
'x+1/2,-y+1/2,z+1/2'
loop_
_atom_site_label
_atom_site_type_symbol
_atom_site_fract_x
_atom_site_fract_y
_atom_site_fract_z
V1 V 0.123 0.096 0.110
V2 V 0.126 0.267 0.636
V3 V 0.141 0.426 0.196
H1 H 0.094 0.085 0.678
N1 N 0.000 0.416 0.750
# N(E_F) in states/eV/f.u.: 3.9
# Total energy in eV/atom: -8.11

---

No. 4
# SmTm2Sn2 PBE optimized geometry
data_SmTm2Sn2
_chemical_formula_sum 'Sm3 Tm6 Sn6'
_symmetry_space_group_name_H-M 'R -3 m'
_symmetry_Int_Tables_number 166
_symmetry_space_group_name_Hall '-R 3 2"'
_cell_length_a 5.1891
_cell_length_b 5.1891
_cell_length_c 17.6663
_cell_angle_alpha 90.00
_cell_angle_beta 90.00
_cell_angle_gamma 120.00
loop_
_atom_site_label
_atom_site_type_symbol
_atom_site_fract_x
_atom_site_fract_y
_atom_site_fract_z
Sm1 Sm 0.0000 0.0000 0.0000
Tm1 Tm 0.0000 0.0000 0.2078
Sn1 Sn 0.0000 0.0000 0.4108
# N(E_F) in states/eV/f.u.: 3.6
# Total energy in eV/atom: -4.89

---

No. 5
# PmTh3 PBE optimized geometry
data_PmTh3
_chemical_formula_sum 'Pm2 Th6'
_symmetry_space_group_name_H-M 'I 4/m m m'
_symmetry_Int_Tables_number 139
_symmetry_space_group_name_Hall '-I 4 2'
_cell_length_a 5.067
_cell_length_b 5.067
_cell_length_c 10.142
_cell_angle_alpha 90.00
_cell_angle_beta 90.00
_cell_angle_gamma 90.00
loop_
_atom_site_label
_atom_site_type_symbol
_atom_site_fract_x
_atom_site_fract_y
_atom_site_fract_z
Pm1 Pm 0.000 0.000 0.000
Th1 Th 0.000 0.000 0.500
Th2 Th 0.000 0.500 0.250
# N(E_F) in states/eV/f.u.: 6.6
# Total energy in eV/atom: -6.69

---

No. 6
# Ce4PRh PBE optimized geometry
data_Ce4PRh
_chemical_formula_sum 'Ce16 P4 Rh4'
_symmetry_space_group_name_H-M 'C 1 2/c 1'
_symmetry_Int_Tables_number 15
_cell_length_a 7.648
_cell_length_b 13.451
_cell_length_c 6.635
_cell_angle_alpha 90.00
_cell_angle_beta 118.71
_cell_angle_gamma 90.00
loop_
_symmetry_equiv_pos_as_xyz
'x,y,z'
'-x,-y,-z'
'-x,y,-z+1/2'
'x,-y,z+1/2'
'x+1/2,y+1/2,z'
'-x+1/2,-y+1/2,-z'
'-x+1/2,y+1/2,-z+1/2'
'x+1/2,-y+1/2,z+1/2'
loop_
_atom_site_label
_atom_site_type_symbol
_atom_site_fract_x
_atom_site_fract_y
_atom_site_fract_z
Ce1 Ce 0.198 0.229 0.175
Ce2 Ce 0.230 0.434 0.276
P1 P 0.000 0.067 0.250
Rh1 Rh 0.000 0.403 0.750
# N(E_F) in states/eV/f.u.: 12.6
# Total energy in eV/atom: -6.64

---

No. 7
# CoPIr2 PBE optimized geometry
data_CoPIr2
_chemical_formula_sum 'Co2 P2 Ir4'
_symmetry_space_group_name_H-M 'C 1 2/m 1'
_symmetry_Int_Tables_number 12
_cell_length_a 5.352
_cell_length_b 8.581
_cell_length_c 2.767
_cell_angle_alpha 90.00
_cell_angle_beta 120.98
_cell_angle_gamma 90.00
loop_
_symmetry_equiv_pos_as_xyz
'x,y,z'
'-x,-y,-z'
'-x,y,-z'
'x,-y,z'
'x+1/2,y+1/2,z'
'-x+1/2,-y+1/2,-z'
'-x+1/2,y+1/2,-z'
'x+1/2,-y+1/2,z'
loop_
_atom_site_label
_atom_site_type_symbol
_atom_site_fract_x
_atom_site_fract_y
_atom_site_fract_z
Co1 Co 0.000 0.000 0.000
P1 P 0.000 0.500 0.000
Ir1 Ir 0.250 0.250 0.000
# N(E_F) in states/eV/f.u.: 5.8
# Total energy in eV/atom: -7.32

---

No. 8
# CeFe2Ni4 PBE optimized geometry
data_CeFe2Ni4
_chemical_formula_sum 'Ce2 Fe4 Ni8'
_symmetry_space_group_name_H-M 'C 1 2/m 1'
_symmetry_Int_Tables_number 12
_cell_length_a 7.888
_cell_length_b 6.233
_cell_length_c 4.848
_cell_angle_alpha 90.00
_cell_angle_beta 127.81
_cell_angle_gamma 90.00
loop_
_symmetry_equiv_pos_as_xyz
'x,y,z'
'-x,-y,-z'
'-x,y,-z'
'x,-y,z'
'x+1/2,y+1/2,z'
'-x+1/2,-y+1/2,-z'
'-x+1/2,y+1/2,-z'
'x+1/2,-y+1/2,z'
loop_
_atom_site_label
_atom_site_type_symbol
_atom_site_fract_x
_atom_site_fract_y
_atom_site_fract_z
Ce1 Ce 0.000 0.000 0.000
Fe1 Fe 0.000 0.500 0.250
Ni1 Ni 0.199 0.199 0.699
# N(E_F) in states/eV/f.u.: 7.6
# Total energy in eV/atom: -6.78

---

No. 9
# Mg2TlPb PBE optimized geometry
data_Mg2TlPb
_chemical_formula_sum 'Mg4 Tl2 Pb2'
_symmetry_space_group_name_H-M 'I -4 m 2'
_symmetry_Int_Tables_number 119
_symmetry_space_group_name_Hall 'I -4 -2'
_cell_length_a 4.478
_cell_length_b 4.478
_cell_length_c 10.272
_cell_angle_alpha 90.00
_cell_angle_beta 90.00
_cell_angle_gamma 90.00
loop_
_atom_site_label
_atom_site_type_symbol
_atom_site_fract_x
_atom_site_fract_y
_atom_site_fract_z
Mg1 Mg 0.000 0.000 0.000
Mg2 Mg 0.000 0.500 0.250
Tl1 Tl 0.000 0.000 0.500
Pb1 Pb 0.000 0.500 0.750
# N(E_F) in states/eV/f.u.: 2.0
# Total energy in eV/atom: -2.33

---

No. 10
# Mg2AlAg PBE optimized geometry
data_Mg2AlAg
_chemical_formula_sum 'Mg4 Al2 Ag2'
_symmetry_space_group_name_H-M 'C 1 m 1'
_symmetry_Int_Tables_number 8
_cell_length_a 10.648
_cell_length_b 3.106
_cell_length_c 5.028
_cell_angle_alpha 90.00
_cell_angle_beta 112.63
_cell_angle_gamma 90.00
loop_
_symmetry_equiv_pos_as_xyz
'x,y,z'
'x,-y,z'
'x+1/2,y+1/2,z'
'x+1/2,-y+1/2,z'
loop_
_atom_site_label
_atom_site_type_symbol
_atom_site_fract_x
_atom_site_fract_y
_atom_site_fract_z
Mg1 Mg 0.000 0.000 0.000
Mg2 Mg 0.222 0.000 0.635
Al1 Al 0.464 0.000 0.477
Ag1 Ag 0.248 0.500 0.141
# N(E_F) in states/eV/f.u.: 1.3
# Total energy in eV/atom: -2.52

---

No. 11
# NbCdTe2N PBE optimized geometry
data_NbCdTe2N
_chemical_formula_sum 'Nb1 Cd1 Te2 N1'
_symmetry_space_group_name_H-M 'P 4/m m m'
_symmetry_Int_Tables_number 123
_symmetry_space_group_name_Hall '-P 4 2'
_cell_length_a 5.630
_cell_length_b 5.630
_cell_length_c 3.934
_cell_angle_alpha 90.00
_cell_angle_beta 90.00
_cell_angle_gamma 90.00
loop_
_atom_site_label
_atom_site_type_symbol
_atom_site_fract_x
_atom_site_fract_y
_atom_site_fract_z
Nb1 Nb 0.000 0.000 0.000
Cd1 Cd 0.500 0.500 0.500
Te1 Te 0.000 0.500 0.000
N1 N 0.000 0.000 0.500
# N(E_F) in states/eV/f.u.: 5.2
# E_form (uncorrected) in eV/atom: 0.08

---

No. 12
# La4GeSe2S PBE optimized geometry
data_La4GeSe2S
_chemical_formula_sum 'La16 Ge4 Se8 S4'
_symmetry_space_group_name_H-M 'I m m a'
_symmetry_Int_Tables_number 74
_symmetry_space_group_name_Hall '-I 2b 2'
_cell_length_a 8.614
_cell_length_b 8.657
_cell_length_c 12.204
_cell_angle_alpha 90.00
_cell_angle_beta 90.00
_cell_angle_gamma 90.00
loop_
_atom_site_label
_atom_site_type_symbol
_atom_site_fract_x
_atom_site_fract_y
_atom_site_fract_z
La1 La 0.000 0.008 0.246
La2 La 0.244 0.250 0.004
Ge1 Ge 0.000 0.000 0.000
Se1 Se 0.000 0.000 0.500
Se2 Se 0.250 0.250 0.750
S1 S 0.250 0.250 0.250
# N(E_F) in states/eV/f.u.: 3.7
# E_form (uncorrected) in eV/atom: -1.79

---

Question: Look up the N(E_F) of the third one.
Answer: 3.9 states/eV/f.u.

---

Please write out number 1 again, unchanged.
# NaZrAlSi2 PBE optimized geometry
data_NaZrAlSi2
_chemical_formula_sum 'Na1 Zr1 Al1 Si2'
_symmetry_space_group_name_H-M 'P 4/m m m'
_symmetry_Int_Tables_number 123
_symmetry_space_group_name_Hall '-P 4 2'
_cell_length_a 4.744
_cell_length_b 4.744
_cell_length_c 4.693
_cell_angle_alpha 90.00
_cell_angle_beta 90.00
_cell_angle_gamma 90.00
loop_
_atom_site_label
_atom_site_type_symbol
_atom_site_fract_x
_atom_site_fract_y
_atom_site_fract_z
Na1 Na 0.000 0.000 0.000
Zr1 Zr 0.500 0.500 0.000
Al1 Al 0.000 0.000 0.500
Si1 Si 0.000 0.500 0.500
# N(E_F) in states/eV/f.u.: 3.5
# E_form (uncorrected) in eV/atom: 0.81

---

Question: The highest N(E_F) belongs to which entry?
Answer: Ce4Ru